# 1
This record from Alexandria describes an optimized crystal structure of Co2RuAu. The functional is PBEsol.

crystal system	cubic
ΔE_f	0.51	eV per atom
energy relative to the lowest polymorph listed for this composition	234	meV/atom

Cell: 4.223 4.223 4.223 Å, 60.00 60.00 60.00°
Atoms (fractional coordinates):
Co 0.000 0.000 0.000
Co 0.250 0.250 0.250
Ru 0.750 0.750 0.750
Au 0.500 0.500 0.500

---

# 2
This record from Alexandria describes an optimized crystal structure of Co2RuAu. The functional is PBEsol.

crystal system	trigonal
ΔE_f	0.28	eV per atom
energy relative to the lowest polymorph listed for this composition	0	meV/atom

Cell: 8.595 8.595 8.595 Å, 17.77 17.77 17.77°
Atoms (fractional coordinates):
Co 0.245 0.245 0.245
Co 0.755 0.755 0.755
Ru 0.500 0.500 0.500
Au 0.000 0.000 0.000

---

# 3
This record from Alexandria describes an optimized crystal structure of CoSiRuAu2. The functional is PBEsol.

E_tot	-5.104	eV/atom
crystal system	tetragonal

Cell: 4.674 4.674 4.172 Å, 90.00 90.00 90.00°
Atoms (fractional coordinates):
Co 0.000 0.000 0.000
Si 0.500 0.500 0.500
Ru 0.000 0.000 0.500
Au 0.000 0.500 0.000
Au 0.500 0.000 0.000